A plane-wave DFT calculation with PBE-GGA was carried out for an optimized crystal structure of TaCo2As.

a b c (Å): 2.858 2.858 6.561
angles (deg): 90.00 90.00 90.00
Site moments in Bohr magnetons follow the coordinates.
Atoms (fractional coordinates):
As 0.500 0.500 0.750  0.00
Co 0.000 0.000 0.536  0.57
Co 0.000 0.000 0.964  0.57
Ta 0.500 0.500 0.250  0.04

Values from the calculation:
- magnetization (μB/cell) = 1.2
- E_tot (eV per atom) = -7.736
- symmetry = No. 123
- calculated formation energy (eV per formula unit) = -0.23